Here is crystalline NaIn5Pb7 at its relaxed geometry from the Alexandria database. Energies are from PBE.

Computed properties:
Space group ... No. 8
DFT total energy ... -3.13 eV/atom
Calculated volume ... 400.1 Å³/cell
Energy of formation ... 0.3 eV/f.u.

abc: 5.8777 8.9166 8.9166
angles: 79.28 67.80 67.80
Last column: nearest neighbours and their distance in Å.
Fractional positions:
In 0.4148 0.5576 0.9987  3 In 3.08-3.16, 4 Pb 3.23-3.39
In 0.7358 0.7840 0.7840  4 In 3.16-3.36, 3 Pb 3.23-3.35
In 0.9801 0.4471 0.9950  3 In 3.08-3.36, 4 Pb 3.24-3.30
In 0.4148 0.9987 0.5576  3 In 3.08-3.16, 4 Pb 3.23-3.39
In 0.9801 0.9950 0.4471  3 In 3.08-3.36, 4 Pb 3.24-3.30
Pb 0.5407 0.1873 0.7994  4 In 3.26-3.46, 3 Pb 3.34-3.58
Pb 0.0035 0.3590 0.6511  2 In 3.23-3.25, 3 Pb 3.32-3.58
Pb 0.6521 0.3649 0.3649  2 In 3.24, 3 Pb 3.28-3.51
Pb 0.0035 0.6511 0.3590  2 In 3.23-3.25, 3 Pb 3.32-3.58
Pb 0.5407 0.7994 0.1873  4 In 3.26-3.46, 3 Pb 3.34-3.58
Pb 0.3380 0.2161 0.2161  4 In 3.30-3.38, 4 Pb 3.36-3.51, 1 Na 3.68
Pb 0.3648 0.6389 0.6389  4 In 3.23-3.60, 1 Pb 3.28
Na 0.0312 0.0010 0.0010  7 Pb 3.67-4.03, 5 In 3.73-3.87